# 1
VASP calculation (PBE-GGA) on crystalline Cd2TeOs at its relaxed geometry.

a = 11.1774 Å, b = 11.1774 Å, c = 11.1774 Å
α = 15.51°, β = 15.51°, γ = 15.51°
Element x y z (fractional)
Te  0.7500  0.7500  0.7500
Os  0.2500  0.2500  0.2500
Cd  0.9857  0.9857  0.9857
Cd  0.5143  0.5143  0.5143

Formation energy from raw total energies in eV per atom: 0.5840
V in A^3/atom: 21.74
E_tot in eV for the cell shown: -13.87
Symmetry: R-3m, No. 166



# 2
VASP calculation (PBE-GGA) on crystalline Tl2OsRh at its relaxed geometry.

a = 4.6677 Å, b = 4.6677 Å, c = 3.3301 Å
α = 90.00°, β = 90.00°, γ = 90.00°
Element x y z (fractional)
Tl  0.5000  0.0000  0.0000
Tl  0.0000  0.5000  0.0000
Os  0.5000  0.5000  0.5000
Rh  0.0000  0.0000  0.5000

V in A^3/atom: 18.14
E_tot in eV for the cell shown: -20.69
Symmetry: P4/mmm, No. 123
Formation enthalpy at 0 K in meV/atom: 655



# 3
VASP calculation (PBE-GGA) on crystalline Zn2ReSe at its relaxed geometry.

a = 8.5472 Å, b = 8.5472 Å, c = 8.5472 Å
α = 20.66°, β = 20.66°, γ = 20.66°
Element x y z (fractional)
Re  0.4974  0.4974  0.4974
Se  0.7618  0.7618  0.7618
Zn  0.9940  0.9940  0.9940
Zn  0.2467  0.2467  0.2467

Formation energy from raw total energies in eV per atom: 0.1926
V in A^3/atom: 17.02
E_tot in eV for the cell shown: -17.71
Symmetry: R3m, No. 160



# 4
VASP calculation (PBE-GGA) on crystalline Ga2BRh2 at its relaxed geometry.

a = 5.7588 Å, b = 5.7588 Å, c = 4.1274 Å
α = 90.00°, β = 90.00°, γ = 90.00°
Element x y z (fractional)
B  0.0000  0.0000  0.0000
B  0.5000  0.5000  0.0000
Rh  0.3282  0.8282  0.0000
Rh  0.8282  0.6718  0.0000
Rh  0.6718  0.1718  0.0000
Rh  0.1718  0.3282  0.0000
Ga  0.1579  0.6579  0.5000
Ga  0.6579  0.8421  0.5000
Ga  0.8421  0.3421  0.5000
Ga  0.3421  0.1579  0.5000

V in A^3/atom: 13.69
E_tot in eV for the cell shown: -58.39
Symmetry: P4/mbm, No. 127
Formation enthalpy at 0 K in meV/atom: -353



# 5
VASP calculation (PBE-GGA) on crystalline Mn2GaHRu at its relaxed geometry.

a = 3.6439 Å, b = 3.6439 Å, c = 4.1458 Å
α = 90.00°, β = 90.00°, γ = 90.00°
Element x y z (fractional)
Ru  0.5000  0.5000  0.5000
Mn  0.0000  0.5000  0.0000
Mn  0.5000  0.0000  0.0000
Ga  0.0000  0.0000  0.5000
H  0.0000  0.0000  0.0000

V in A^3/atom: 11.01
E_tot in eV for the cell shown: -33.91
Symmetry: P4/mmm, No. 123



# 6
VASP calculation (PBE-GGA) on crystalline CoAsPt3 at its relaxed geometry.

a = 4.5706 Å, b = 4.5706 Å, c = 4.5706 Å
α = 90.00°, β = 90.00°, γ = 90.00°
Element x y z (fractional)
As  0.5000  0.5000  0.5000
Co  0.0000  0.0000  0.0000
Pt  0.0000  0.5000  0.0000
Pt  0.0000  0.0000  0.5000
Pt  0.5000  0.0000  0.0000

V in A^3/atom: 19.10
E_tot in eV for the cell shown: -25.18
Symmetry: Pm-3m, No. 221
Formation enthalpy at 0 K in meV/atom: 940



# 7
VASP calculation (PBE-GGA) on crystalline NaCa3Pt at its relaxed geometry.

a = 15.7946 Å, b = 6.9480 Å, c = 6.9480 Å
α = 131.41°, β = 138.40°, γ = 41.60°
Element x y z (fractional)
Na  0.6383  0.9247  0.0753
Na  0.3617  0.0753  0.9247
Ca  0.2462  0.8290  0.1710
Ca  0.7538  0.1710  0.8290
Ca  0.0245  0.3138  0.6862
Ca  0.9755  0.6862  0.3138
Ca  0.6525  0.5723  0.4277
Ca  0.3475  0.4277  0.5723
Pt  0.0701  0.8176  0.1824
Pt  0.9299  0.1824  0.8176

V in A^3/atom: 32.69
E_tot in eV for the cell shown: -30.48
Symmetry: C2/m, No. 12
Formation enthalpy at 0 K in meV/atom: -375



# 8
VASP calculation (PBE-GGA) on crystalline BaCa2YAg at its relaxed geometry.

a = 5.9528 Å, b = 5.9528 Å, c = 5.7083 Å
α = 90.00°, β = 90.00°, γ = 90.00°
Element x y z (fractional)
Y  0.0000  0.0000  0.5000
Ca  0.0000  0.5000  0.0000
Ca  0.5000  0.0000  0.0000
Ba  0.5000  0.5000  0.5000
Ag  0.0000  0.0000  0.0000

V in A^3/atom: 40.46
E_tot in eV for the cell shown: -15.20
Symmetry: P4/mmm, No. 123
Formation enthalpy at 0 K in meV/atom: 8



# 9
VASP calculation (PBE-GGA) on crystalline Mg3ZrHg at its relaxed geometry.

a = 5.8155 Å, b = 5.8155 Å, c = 5.8155 Å
α = 90.00°, β = 90.00°, γ = 90.00°
Element x y z (fractional)
Mg  0.0000  0.5000  0.0000
Mg  0.0000  0.0000  0.5000
Mg  0.5000  0.0000  0.0000
Hg  0.5000  0.5000  0.5000
Zr  0.0000  0.0000  0.0000

V in A^3/atom: 39.34
E_tot in eV for the cell shown: -8.49
Symmetry: Pm-3m, No. 221
Formation enthalpy at 0 K in meV/atom: 1028



# 10
VASP calculation (PBE-GGA) on crystalline ZnCd3Hg at its relaxed geometry.

a = 5.1708 Å, b = 5.1708 Å, c = 5.1708 Å
α = 90.00°, β = 90.00°, γ = 90.00°
Element x y z (fractional)
Zn  0.0000  0.0000  0.0000
Hg  0.5000  0.5000  0.5000
Cd  0.0000  0.5000  0.0000
Cd  0.0000  0.0000  0.5000
Cd  0.5000  0.0000  0.0000

V in A^3/atom: 27.65
E_tot in eV for the cell shown: -3.47
Symmetry: Pm-3m, No. 221
Formation enthalpy at 0 K in meV/atom: 171



# 11
VASP calculation (PBE-GGA) on crystalline UNiSb2 at its relaxed geometry.

a = 4.3617 Å, b = 4.3617 Å, c = 9.0767 Å
α = 90.00°, β = 90.00°, γ = 90.00°
Element x y z (fractional)
Sb  0.2500  0.2500  0.1599
Sb  0.7500  0.7500  0.8401
Sb  0.7500  0.2500  0.5000
Sb  0.2500  0.7500  0.5000
U  0.7500  0.7500  0.2300
U  0.2500  0.2500  0.7700
Ni  0.2500  0.7500  0.0000
Ni  0.7500  0.2500  0.0000

Formation energy from raw total energies in eV per atom: -0.3381
V in A^3/atom: 21.58
E_tot in eV for the cell shown: -53.33
Symmetry: P4/nmm, No. 129



# 12
VASP calculation (PBE-GGA) on crystalline Cs2CaGeBr6 at its relaxed geometry.

a = 8.0685 Å, b = 8.0685 Å, c = 8.0687 Å
α = 60.00°, β = 60.00°, γ = 90.00°
Element x y z (fractional)
Cs  0.7500  0.2500  0.5000
Cs  0.2500  0.7500  0.5000
Ge  0.0000  0.0000  0.0000
Ca  0.5000  0.5000  0.0000
Br  0.2468  0.2468  0.5065
Br  0.7532  0.7532  0.4935
Br  0.2467  0.2467  0.0000
Br  0.7533  0.7533  0.0000
Br  0.7533  0.2467  0.0000
Br  0.2467  0.7533  0.0000

Formation energy from raw total energies in eV per atom: -1.5192
V in A^3/atom: 37.14
E_tot in eV for the cell shown: -33.55
Symmetry: Fm-3m, No. 225



# 13
VASP calculation (PBE-GGA) on crystalline Hf3Cu at its relaxed geometry.

a = 4.1956 Å, b = 4.1956 Å, c = 5.3371 Å
α = 113.15°, β = 113.15°, γ = 90.00°
Element x y z (fractional)
Hf  0.7500  0.2500  0.5000
Hf  0.2500  0.7500  0.5000
Hf  0.5000  0.5000  0.0000
Cu  0.0000  0.0000  0.0000

V in A^3/atom: 19.52
E_tot in eV for the cell shown: -33.68
Symmetry: I4/mmm, No. 139
Formation enthalpy at 0 K in meV/atom: 69



# 14
VASP calculation (PBE-GGA) on crystalline FeOs2Rh at its relaxed geometry.

a = 4.6353 Å, b = 4.6353 Å, c = 4.6353 Å
α = 132.24°, β = 132.24°, γ = 69.85°
Element x y z (fractional)
Fe  0.7500  0.2500  0.5000
Os  0.0000  0.0000  0.0000
Os  0.5000  0.5000  0.0000
Rh  0.2500  0.7500  0.5000

V in A^3/atom: 13.38
E_tot in eV for the cell shown: -37.63
Symmetry: I4/mmm, No. 139
Formation enthalpy at 0 K in meV/atom: 160



# 15
VASP calculation (PBE-GGA) on crystalline SrMoPd at its relaxed geometry.

a = 4.4706 Å, b = 3.5358 Å, c = 9.4989 Å
α = 79.25°, β = 103.62°, γ = 90.00°
Element x y z (fractional)
Sr  0.6235  0.6475  0.8639
Sr  0.2859  0.9855  0.1886
Mo  0.4776  0.3164  0.5263
Mo  0.0893  0.8165  0.5264
Pd  0.0642  0.2065  0.7461
Pd  0.8447  0.4263  0.3066

V in A^3/atom: 23.87
E_tot in eV for the cell shown: -34.84
Symmetry: Imm2, No. 44
Formation enthalpy at 0 K in meV/atom: 96



# 16
VASP calculation (PBE-GGA) on crystalline CoSb2TeS at its relaxed geometry.

a = 4.8917 Å, b = 4.8917 Å, c = 5.0286 Å
α = 90.00°, β = 90.00°, γ = 90.00°
Element x y z (fractional)
Sb  0.0000  0.5000  0.0000
Sb  0.5000  0.0000  0.0000
S  0.5000  0.5000  0.5000
Te  0.0000  0.0000  0.5000
Co  0.0000  0.0000  0.0000

Formation energy from raw total energies in eV per atom: 0.4560
V in A^3/atom: 24.07
E_tot in eV for the cell shown: -20.34
Symmetry: P4/mmm, No. 123



# 17
VASP calculation (PBE-GGA) on crystalline HfNi4As2 at its relaxed geometry.

a = 7.0558 Å, b = 7.0558 Å, c = 3.7670 Å
α = 90.00°, β = 90.00°, γ = 90.00°
Element x y z (fractional)
Hf  0.5000  0.5000  0.0000
Hf  0.0000  0.0000  0.5000
Ni  0.5910  0.1559  0.5000
Ni  0.4090  0.8441  0.5000
Ni  0.0910  0.3441  0.0000
Ni  0.9090  0.6559  0.0000
Ni  0.1559  0.5910  0.5000
Ni  0.8441  0.4090  0.5000
Ni  0.3441  0.0910  0.0000
Ni  0.6559  0.9090  0.0000
As  0.7163  0.7163  0.5000
As  0.2837  0.2837  0.5000
As  0.2163  0.7837  0.0000
As  0.7837  0.2163  0.0000

V in A^3/atom: 13.40
E_tot in eV for the cell shown: -91.70
Symmetry: P4_2/mnm, No. 136
Formation enthalpy at 0 K in meV/atom: -496



# 18
VASP calculation (PBE-GGA) on crystalline Tl2Hg2Pb7 at its relaxed geometry.

a = 6.0165 Å, b = 6.0165 Å, c = 9.8484 Å
α = 92.60°, β = 92.60°, γ = 106.73°
Element x y z (fractional)
Tl  0.7227  0.2773  0.5000
Tl  0.2773  0.7227  0.5000
Hg  0.8149  0.8149  0.6288
Hg  0.1851  0.1851  0.3712
Pb  0.1878  0.5677  0.1423
Pb  0.4323  0.8122  0.8577
Pb  0.8122  0.4323  0.8577
Pb  0.5677  0.1878  0.1423
Pb  0.0000  0.0000  0.0000
Pb  0.2525  0.2525  0.7225
Pb  0.7475  0.7475  0.2775

V in A^3/atom: 30.95
E_tot in eV for the cell shown: -31.02
Symmetry: C2/m, No. 12
Formation enthalpy at 0 K in meV/atom: 25



# 19
VASP calculation (PBE-GGA) on crystalline TlTeSI2 at its relaxed geometry.

a = 6.2512 Å, b = 6.2512 Å, c = 5.0311 Å
α = 90.00°, β = 90.00°, γ = 90.00°
Element x y z (fractional)
I  0.0000  0.5000  0.0000
I  0.5000  0.0000  0.0000
Tl  0.5000  0.5000  0.5000
Te  0.0000  0.0000  0.0000
S  0.0000  0.0000  0.5000

Formation energy from raw total energies in eV per atom: -0.1046
V in A^3/atom: 39.32
E_tot in eV for the cell shown: -13.26
Symmetry: P4/mmm, No. 123



# 20
VASP calculation (PBE-GGA) on crystalline La2ScCl at its relaxed geometry.

a = 3.4909 Å, b = 3.4909 Å, c = 9.3969 Å
α = 90.00°, β = 90.00°, γ = 90.00°
Element x y z (fractional)
Cl  0.5000  0.5000  0.7317
La  0.0000  0.0000  0.9753
La  0.5000  0.5000  0.2712
Sc  0.0000  0.0000  0.5218

Formation energy from raw total energies in eV per atom: -0.4638
V in A^3/atom: 28.63
E_tot in eV for the cell shown: -19.89
Symmetry: P4mm, No. 99



# 21
VASP calculation (PBE-GGA) on crystalline SiRhBr2 at its relaxed geometry.

a = 3.4552 Å, b = 3.4552 Å, c = 8.1544 Å
α = 90.00°, β = 90.00°, γ = 89.96°
Element x y z (fractional)
Br  0.0000  0.0000  0.9400
Br  0.5000  0.5000  0.3187
Rh  0.0000  0.0000  0.6446
Si  0.5000  0.5000  0.5968

Formation energy from raw total energies in eV per atom: -0.1846
V in A^3/atom: 24.34
E_tot in eV for the cell shown: -16.86
Symmetry: P4mm, No. 99



# 22
VASP calculation (PBE-GGA) on crystalline CsLa2TiTc at its relaxed geometry.

a = 5.8525 Å, b = 5.8525 Å, c = 4.9103 Å
α = 90.00°, β = 90.00°, γ = 90.00°
Element x y z (fractional)
Cs  0.0000  0.0000  0.0000
Ti  0.5000  0.5000  0.5000
Tc  0.0000  0.0000  0.5000
La  0.0000  0.5000  0.0000
La  0.5000  0.0000  0.0000

V in A^3/atom: 33.64
E_tot in eV for the cell shown: -20.10
Symmetry: P4/mmm, No. 123
Formation enthalpy at 0 K in meV/atom: 1774



# 23
VASP calculation (PBE-GGA) on crystalline TbGeRu at its relaxed geometry.

a = 3.5708 Å, b = 4.3659 Å, c = 4.3659 Å
α = 120.00°, β = 90.00°, γ = 90.00°
Element x y z (fractional)
Ru  0.1666  0.3333  0.6667
Ge  0.1667  0.0000  0.0000
Tb  0.6667  0.6667  0.3333

V in A^3/atom: 19.65
E_tot in eV for the cell shown: -20.18
Symmetry: P-6m2, No. 187
Formation enthalpy at 0 K in meV/atom: -553



# 24
VASP calculation (PBE-GGA) on crystalline Zr12Cd3Ga at its relaxed geometry.

a = 4.4364 Å, b = 4.4364 Å, c = 17.7383 Å
α = 90.00°, β = 90.00°, γ = 90.00°
Element x y z (fractional)
Zr  0.5000  0.5000  0.0000
Zr  0.5000  0.5000  0.2472
Zr  0.5000  0.5000  0.5000
Zr  0.5000  0.5000  0.7528
Zr  0.5000  0.0000  0.1193
Zr  0.5000  0.0000  0.3733
Zr  0.5000  0.0000  0.6267
Zr  0.5000  0.0000  0.8807
Zr  0.0000  0.5000  0.1193
Zr  0.0000  0.5000  0.3733
Zr  0.0000  0.5000  0.6267
Zr  0.0000  0.5000  0.8807
Cd  0.0000  0.0000  0.2469
Cd  0.0000  0.0000  0.5000
Cd  0.0000  0.0000  0.7531
Ga  0.0000  0.0000  0.0000

V in A^3/atom: 21.82
E_tot in eV for the cell shown: -110.67
Symmetry: P4/mmm, No. 123
Formation enthalpy at 0 K in meV/atom: -145



# 25
VASP calculation (PBE-GGA) on crystalline BaTb4Ge4 at its relaxed geometry.

a = 5.7673 Å, b = 9.7029 Å, c = 9.7029 Å
α = 90.00°, β = 90.00°, γ = 90.00°
Element x y z (fractional)
Ba  0.0000  0.0000  0.0000
Ba  0.5000  0.5000  0.5000
Tb  0.3854  0.3666  0.8788
Tb  0.8854  0.6212  0.8666
Tb  0.3854  0.6334  0.1212
Tb  0.1146  0.1334  0.6212
Tb  0.6146  0.8788  0.6334
Tb  0.1146  0.8666  0.3788
Tb  0.8854  0.3788  0.1334
Tb  0.6146  0.1212  0.3666
Ge  0.6020  0.8229  0.3213
Ge  0.6020  0.1771  0.6787
Ge  0.1020  0.8213  0.6771
Ge  0.8980  0.3229  0.8213
Ge  0.8980  0.6771  0.1787
Ge  0.3980  0.3213  0.1771
Ge  0.3980  0.6787  0.8229
Ge  0.1020  0.1787  0.3229

V in A^3/atom: 30.16
E_tot in eV for the cell shown: -89.53
Symmetry: P4_2/n, No. 86
Formation enthalpy at 0 K in meV/atom: -650



# 26
VASP calculation (PBE-GGA) on crystalline TlRu2Pt at its relaxed geometry.

a = 2.8738 Å, b = 2.8738 Å, c = 8.0005 Å
α = 90.00°, β = 90.00°, γ = 90.00°
Element x y z (fractional)
Pt  0.5000  0.5000  0.7717
Ru  0.0000  0.0000  0.0174
Ru  0.5000  0.5000  0.2193
Tl  0.0000  0.0000  0.4915

V in A^3/atom: 16.52
E_tot in eV for the cell shown: -25.92
Symmetry: P4mm, No. 99
Formation enthalpy at 0 K in meV/atom: 260